(P)
# VMoPb2

Crystalline VMoPb2 at its relaxed geometry (GGA-PBE, Alexandria).

Cell lengths 6.228, 6.228, 6.228 Å; angles 103.40, 103.40, 122.45 degrees
Sites, in units of the cell vectors:
V1 0.000 0.000 0.000
V2 0.750 0.250 0.500
Mo1 0.250 0.750 0.500
Mo2 0.500 0.500 0.000
Pb1 0.122 0.625 0.997
Pb2 0.375 0.372 0.497
Pb3 0.628 0.125 0.003
Pb4 0.875 0.878 0.503

Summary:
- Fermi-level density of states: 1.09 states/eV per atom

(Q)
# VMoPb2

Crystalline VMoPb2 at its relaxed geometry (GGA-PBE, Alexandria).

Cell lengths 4.855, 4.855, 4.855 Å; angles 60.00, 60.00, 60.00 degrees
Sites, in units of the cell vectors:
V1 0.000 0.000 0.000
Mo1 0.500 0.500 0.500
Pb1 0.250 0.250 0.250
Pb2 0.750 0.750 0.750

Summary:
- Fermi-level density of states: 1.19 states/eV per atom

Stability order, top to bottom: (Q), (P)

(P)
# MoPbW

Crystalline MoPbW at its relaxed geometry (GGA-PBE, Alexandria).

Cell lengths 6.052, 6.052, 6.052 Å; angles 149.20, 149.20, 44.12 degrees
Sites, in units of the cell vectors:
Mo1 0.000 0.000 0.000
Pb1 0.312 0.312 0.000
W1 0.622 0.622 0.000

Summary:
- Fermi-level density of states: 0.77 states/eV per atom

(Q)
# MoPbW

Crystalline MoPbW at its relaxed geometry (GGA-PBE, Alexandria).

Cell lengths 3.202, 3.202, 7.039 Å; angles 90.00, 90.00, 120.00 degrees
Sites, in units of the cell vectors:
Mo1 0.000 0.000 0.000
Pb1 0.333 0.667 0.380
W1 0.667 0.333 0.759

Summary:
- Fermi-level density of states: 0.57 states/eV per atom

Stability order, top to bottom: (Q), (P)